[1]
DFT (PBE) results for a relaxed structure of CuHPd2.

Structure (extended XYZ):
```
4
Lattice="-1.896 1.647 -1.058 -0.667 -1.928 -1.806 -4.248 -2.304 4.029" Properties=species:S:1:pos:R:3 pbc="T T T"
Pd -3.358 -1.822 3.185
Pd -0.890 -0.483 0.844
Cu -3.406 -1.293 0.583
H -1.282 -0.141 -1.432
```

The space group is No. 123. Its crystal system is tetragonal. Its offset from the most stable computed form is 191 meV/atom.



[2]
DFT (PBE) results for a relaxed structure of CuHPd.

Structure (extended XYZ):
```
6
Lattice="-0.564 1.695 2.260 -4.489 -1.506 -1.827 1.663 -3.206 2.820" Properties=species:S:1:pos:R:3 pbc="T T T"
H -1.398 -2.732 1.700
H -1.991 -0.285 1.552
Cu -0.162 -1.999 3.295
Cu -3.227 -1.018 -0.042
Pd -0.528 -1.181 0.754
Pd -2.862 -1.837 2.499
```

The space group is No. 12. Its crystal system is monoclinic. Its offset from the most stable computed form is 25 meV/atom.



[3]
DFT (PBE) results for a relaxed structure of CuH2Pd6.

Structure (extended XYZ):
```
9
Lattice="-0.641 1.122 3.823 -3.371 -3.203 2.504 4.314 -2.886 3.700" Properties=species:S:1:pos:R:3 pbc="T T T"
Pd 0.500 -4.215 7.710
Pd -0.756 -3.673 5.210
Pd -2.004 -2.870 2.636
Pd 2.307 -2.097 7.391
Pd 1.059 -1.294 4.817
Pd -0.198 -0.752 2.317
H -0.394 -0.214 4.256
H 0.697 -4.753 5.771
Cu 0.472 -3.045 3.102
```

The space group is No. 12. As for the total energy: -41.07 eV/cell. Its crystal system is monoclinic.



[4]
DFT (PBE) results for a relaxed structure of CuH5Pd8.

Structure (extended XYZ):
```
14
Lattice="-2.706 0.562 0.680 -5.127 0.778 8.329 1.711 7.542 1.690" Properties=species:S:1:pos:R:3 pbc="T T T"
H -1.607 3.063 3.614
H -0.999 2.275 0.806
H -0.207 5.077 1.484
H -2.384 4.959 6.218
H -3.590 8.155 9.932
Pd 0.303 6.915 3.022
Pd -2.193 2.025 2.239
Pd -4.098 1.584 6.937
Pd -3.644 6.341 6.025
Pd -4.267 7.008 8.641
Pd -5.992 4.718 8.451
Pd -2.691 3.292 5.088
Pd -1.432 4.727 2.840
Cu -3.432 0.800 4.418
```

The space group is No. 1. As for the total energy: -63.28 eV/cell. Its crystal system is triclinic.



[5]
DFT (PBE) results for a relaxed structure of Cu4H2Pd5.

Structure (extended XYZ):
```
22
Lattice="-0.461 2.660 -0.958 -1.411 -2.450 -6.122 -13.305 -1.048 3.486" Properties=species:S:1:pos:R:3 pbc="T T T"
Pd -9.723 -1.329 0.985
Pd -9.359 0.530 -2.593
Pd -3.557 1.809 -1.830
Pd -5.818 -1.369 -1.001
Pd -2.638 -2.288 -5.081
Pd -11.620 -2.648 -1.764
Pd -6.653 -0.524 1.743
Pd -12.078 -1.211 2.445
Pd -5.454 0.490 -4.579
Pd -0.706 -1.225 -3.061
H -10.528 -1.059 -2.158
H -11.088 0.067 1.234
H -4.089 -0.906 -4.828
H -4.649 0.220 -1.436
Cu -14.022 -1.644 -2.102
Cu -3.107 -0.228 -3.420
Cu -10.271 -1.639 -3.892
Cu -7.210 -0.842 -3.152
Cu -1.155 0.805 -1.492
Cu -7.967 0.003 -0.442
Cu -4.906 0.800 0.298
Cu -12.070 -0.611 -0.175
```

The space group is No. 55. As for the total energy: -99.65 eV/cell. Its crystal system is orthorhombic.



[6]
DFT (PBE) results for a relaxed structure of CuH3Pd4.

Structure (extended XYZ):
```
16
Lattice="-1.867 0.331 4.668 -5.039 -1.112 -4.655 2.126 -4.904 1.198" Properties=species:S:1:pos:R:3 pbc="T T T"
H -2.753 -3.858 0.242
H -3.082 -1.536 -2.192
H -1.750 -1.683 2.577
H -4.802 -4.676 0.761
H -0.386 -4.189 2.424
H -4.252 -2.510 -3.872
Pd -1.620 -4.674 -0.881
Pd -5.419 -0.704 0.006
Pd -1.887 -2.094 4.299
Pd 0.677 -4.813 1.145
Pd -3.190 -0.753 2.047
Pd -2.898 -3.415 -3.040
Pd -3.071 -2.154 -0.510
Pd -1.749 -3.272 1.701
Cu -5.236 -2.032 -2.396
Cu -4.479 -4.429 -1.031
```

The space group is No. 9. As for the total energy: -70.57 eV/cell. Its crystal system is monoclinic.